The following is a meta-GGA SCAN calculation of a PBEsol-optimized structure of Ba2As2S5, from the Alexandria database.

abc: 9.1487 11.8323 17.2046
angles: 90.00 90.00 90.00
Last column: nearest neighbours and their distance in Å.
Positions (direct):
1 S 0.2392 0.1569 0.8822  1 As 2.26
2 As 0.2341 0.1779 0.6300  3 S 2.25-2.37
3 As 0.1392 0.6427 0.3745  3 S 2.26-2.42
4 As 0.7659 0.6779 0.3700  3 S 2.25-2.37
5 As 0.7659 0.1779 0.1300  3 S 2.25-2.37
6 S 0.5112 0.0751 0.2438  1 As 2.22
7 Ba 0.0126 0.3330 0.8219  8 S 3.12-3.37
8 Ba 0.5044 0.4898 0.0758  8 S 3.15-3.40
9 S 0.9500 0.7065 0.4627  2 As 2.35-2.42
10 S 0.5201 0.2403 0.0043  1 As 2.23
11 As 0.8608 0.1427 0.6255  3 S 2.26-2.42
12 Ba 0.9874 0.3330 0.3219  8 S 3.12-3.37
13 Ba 0.0011 0.9779 0.4266  8 S 3.15-3.34
14 S 0.2450 0.3810 0.1962  1 As 2.29
15 S 0.9447 0.5987 0.2866  2 As 2.37-2.39
16 S 0.4888 0.5751 0.7562  1 As 2.22
17 As 0.2708 0.5624 0.2411  3 S 2.22-2.29
18 S 0.7493 0.9299 0.0517  1 As 2.27
19 Ba 0.5004 0.8249 0.6752  8 S 3.19-3.39
20 S 0.2392 0.6569 0.6178  1 As 2.26
21 S 0.7608 0.6569 0.1178  1 As 2.26
22 S 0.7511 0.3526 0.1811  1 As 2.25
23 As 0.8608 0.6427 0.8745  3 S 2.26-2.42
24 S 0.2349 0.1574 0.3696  1 As 2.23
25 As 0.2708 0.0624 0.2589  3 S 2.22-2.29
26 S 0.2450 0.8810 0.3038  1 As 2.29
27 S 0.5201 0.7403 0.4957  1 As 2.23
28 Ba 0.9874 0.8330 0.1781  8 S 3.12-3.37
29 S 0.4888 0.0751 0.7438  1 As 2.22
30 S 0.2507 0.4299 0.9483  1 As 2.27
31 S 0.7511 0.8526 0.3189  1 As 2.25
32 S 0.7651 0.6574 0.6304  1 As 2.23
33 S 0.7493 0.4299 0.4483  1 As 2.27
34 S 0.4799 0.2403 0.5043  1 As 2.23
35 S 0.7550 0.3810 0.6962  1 As 2.29
36 S 0.2120 0.4764 0.4265  1 As 2.26
37 As 0.1392 0.1427 0.1255  3 S 2.26-2.42
38 S 0.0553 0.5987 0.7866  2 As 2.37-2.39
39 As 0.7292 0.0624 0.7589  3 S 2.22-2.29
40 S 0.9500 0.2065 0.0373  2 As 2.35-2.42
41 S 0.7550 0.8810 0.8038  1 As 2.29
42 As 0.2775 0.7511 0.5056  3 S 2.23-2.27
43 Ba 0.4956 0.4898 0.5758  8 S 3.15-3.40
44 Ba 0.4996 0.3249 0.3248  8 S 3.19-3.39
45 S 0.0553 0.0987 0.7134  2 As 2.37-2.39
46 S 0.7880 0.4764 0.9265  1 As 2.26
47 S 0.5112 0.5751 0.2562  1 As 2.22
48 S 0.0500 0.7065 0.9627  2 As 2.35-2.42
49 As 0.2775 0.2511 0.9944  3 S 2.23-2.27
50 S 0.0500 0.2065 0.5373  2 As 2.35-2.42
51 As 0.7225 0.7511 0.0056  3 S 2.23-2.27
52 As 0.7225 0.2511 0.4944  3 S 2.23-2.27
53 S 0.7608 0.1569 0.3822  1 As 2.26
54 S 0.2120 0.9764 0.0735  1 As 2.26
55 As 0.7292 0.5624 0.7411  3 S 2.22-2.29
56 Ba 0.5044 0.9898 0.4242  8 S 3.15-3.40
57 S 0.2489 0.8526 0.8189  1 As 2.25
58 Ba 0.9989 0.4779 0.5734  8 S 3.15-3.34
59 S 0.2349 0.6574 0.1304  1 As 2.23
60 S 0.2489 0.3526 0.6811  1 As 2.25
61 S 0.4799 0.7403 0.9957  1 As 2.23
62 Ba 0.0011 0.4779 0.0734  8 S 3.15-3.34
63 Ba 0.0126 0.8330 0.6781  8 S 3.12-3.37
64 Ba 0.5004 0.3249 0.8248  8 S 3.19-3.39
65 Ba 0.9989 0.9779 0.9266  8 S 3.15-3.34
66 S 0.7880 0.9764 0.5735  1 As 2.26
67 S 0.9447 0.0987 0.2134  2 As 2.37-2.39
68 S 0.2507 0.9299 0.5517  1 As 2.27
69 S 0.7651 0.1574 0.8696  1 As 2.23
70 Ba 0.4996 0.8249 0.1752  8 S 3.19-3.39
71 As 0.2341 0.6779 0.8700  3 S 2.25-2.37
72 Ba 0.4956 0.9898 0.9242  8 S 3.15-3.40

volume	25.867	Å³/atom
space group	Pca2_1
size of the total moment	0.0	μB/f.u.
calculated total energy	-19.89	eV per atom
E_form (uncorrected)	-1100	kJ/mol of formula units

The following is a meta-GGA SCAN calculation of a PBEsol-optimized structure of FeTc2F2, from the Alexandria database.

abc: 3.1632 3.1632 6.0532
angles: 105.15 105.15 90.00
Last column: nearest neighbours and their distance in Å.
Positions (direct):
1 F 0.2500 0.7500 0.5000  4 F 2.24, 4 Tc 2.26
2 Fe 0.0000 0.0000 0.0000  8 Tc 2.54
3 F 0.7500 0.2500 0.5000  4 F 2.24, 4 Tc 2.26
4 Tc 0.3937 0.3937 0.7874  4 F 2.26, 1 Tc 2.39
5 Tc 0.6063 0.6063 0.2126  4 F 2.26, 1 Tc 2.39

volume	11.256	Å³/atom
space group	I4/mmm
size of the total moment	2.8	μB/f.u.
calculated total energy	-19.75	eV per atom
E_form (uncorrected)	-329	kJ/mol of formula units

Q: E_form (uncorrected) of number 2 (FeTc2F2)?
A: -329 kJ/mol of formula units

Q: Number 2 is which compound?
A: FeTc2F2